The following is a GGA-PBE calculation of crystalline Dy2Tc at its relaxed geometry, from the Open Quantum Materials Database.

Cell: 8.1199 8.1199 8.1199 Å, 60.00 60.00 60.00°
Closest atoms and distances in Å follow each position.
Fractional coordinates of all 6 atoms:
Dy: 0.0000 0.0000 0.0000  2 Tc 2.49
Dy: 0.0000 0.0000 0.5000  2 Tc 2.49
Dy: 0.0000 0.5000 0.0000  2 Tc 2.49
Dy: 0.5000 0.0000 0.0000  2 Tc 2.49
Tc: 0.1250 0.1250 0.1250  4 Dy 2.49
Tc: 0.8750 0.8750 0.8750  4 Dy 2.49

Computed properties:
ΔE to the lowest computed polymorph in eV per atom: 1.140
DFT formation energy in kJ/mol of formula units: 373.5
Energy in eV/atom: -5.23